DFT (PBE) results for MgPdPt3 after structural relaxation.

a = 4.5675 Å, b = 4.5675 Å, c = 4.5675 Å
α = 90.00°, β = 90.00°, γ = 90.00°
With the nearest neighbours (Å) after each atom.
Fractional positions:
Pd1 0.5000 0.5000 0.5000  12 Pt 3.23
Pt1 0.0000 0.0000 0.5000  2 Mg 2.28
Pt2 0.0000 0.5000 0.0000  2 Mg 2.28
Pt3 0.5000 0.0000 0.0000  2 Mg 2.28
Mg1 0.0000 0.0000 0.0000  6 Pt 2.28

Summary:
* electronic total energy: -4.077 eV per atom
* offset from the most stable computed form: 6.67 eV/f.u.
* magnetization: 0.000 μB per atom
* energy of formation from the pure elements: 4.5 eV/f.u.

DFT (PBE) results for U2NbH8 after structural relaxation.

a = 3.6857 Å, b = 4.4756 Å, c = 6.3872 Å
α = 110.51°, β = 106.77°, γ = 90.00°
With the nearest neighbours (Å) after each atom.
Fractional positions:
H1 0.3574 0.0887 0.7148  1 Nb 1.93, 2 H 1.98-2.07
H2 0.6426 0.9113 0.2852  1 Nb 1.93, 2 H 1.98-2.07
H3 0.0000 0.2207 0.0000  1 H 1.98, 2 Nb 2.09
H4 0.3574 0.6261 0.7149  1 Nb 1.92, 2 H 1.98-2.07
H5 0.2196 0.2196 0.4393  2 H 1.98
H6 0.7804 0.7804 0.5607  2 H 1.98
H7 0.0000 0.7793 0.0000  1 H 1.98, 2 Nb 2.09
H8 0.6426 0.3739 0.2851  1 Nb 1.92, 2 H 1.98-2.07
U1 0.8339 0.3339 0.6678  12 H 2.22-2.41
U2 0.1661 0.6661 0.3322  12 H 2.22-2.41
Nb1 0.5000 0.0000 0.0000  8 H 1.92-2.09

Summary:
* electronic total energy: -5.632 eV per atom
* magnetization: 0.422 μB per atom

DFT (PBE) results for NaLa2TlO5 after structural relaxation.

a = 3.6576 Å, b = 7.2347 Å, c = 10.8394 Å
α = 90.00°, β = 90.00°, γ = 104.64°
With the nearest neighbours (Å) after each atom.
Fractional positions:
La1 0.1508 0.3017 0.2720  6 O 2.34-2.59
La2 0.8872 0.7745 0.1887  3 O 2.35-2.46
La3 0.1128 0.2255 0.6887  3 O 2.35-2.46
La4 0.8492 0.6983 0.7720  6 O 2.34-2.59
O1 0.4800 0.9600 0.7778  1 Tl 2.20
O2 0.3190 0.6379 0.3454  1 Tl 2.42, 3 La 2.48-2.67, 2 Na 2.50
O3 0.0632 0.1264 0.0722  2 Tl 2.19, 1 Na 2.37
O4 0.2799 0.5598 0.6706  3 La 2.34-2.35
O5 0.3802 0.7604 0.0368  1 Na 2.27, 1 Tl 2.31, 2 La 2.46
O6 0.7201 0.4402 0.1706  3 La 2.34-2.35
O7 0.5200 0.0400 0.2778  1 Tl 2.20
O8 0.9368 0.8736 0.5722  2 Tl 2.19, 1 Na 2.37
O9 0.6198 0.2396 0.5368  1 Na 2.27, 1 Tl 2.31, 2 La 2.46
O10 0.6810 0.3621 0.8454  1 Tl 2.42, 3 La 2.48-2.67, 2 Na 2.50
Na1 0.7786 0.5572 0.4936  4 O 2.27-2.50
Na2 0.2214 0.4428 0.9936  4 O 2.27-2.50
Tl1 0.4637 0.9274 0.4669  5 O 2.19-2.42
Tl2 0.5363 0.0726 0.9669  5 O 2.19-2.42

Summary:
* electronic total energy: -6.549 eV per atom
* ΔE_f (raw): -2290 meV/atom
* magnetization: 0.000 μB per atom

DFT (PBE) results for TbEr6 after structural relaxation.

a = 6.9450 Å, b = 6.9450 Å, c = 6.9450 Å
α = 109.47°, β = 109.47°, γ = 109.47°
With the nearest neighbours (Å) after each atom.
Fractional positions:
Er1 0.2500 0.7500 0.5000  4 Er 2.84
Er2 0.5000 0.2500 0.7500  4 Er 2.84
Er3 0.2500 0.5000 0.7500  4 Er 2.84
Er4 0.7500 0.5000 0.2500  4 Er 2.84
Er5 0.7500 0.2500 0.5000  4 Er 2.84
Er6 0.5000 0.7500 0.2500  4 Er 2.84
Tb1 0.0000 0.0000 0.0000  24 Er 4.48

Summary:
* electronic total energy: -3.030 eV per atom
* offset from the most stable computed form: 8.90 eV/f.u.
* magnetization: 0.001 μB per atom
* energy of formation from the pure elements: 10.8 eV/f.u.